# SrW3

A relaxed SrW3 crystal (GGA-PBE, Alexandria via LeMat-Bulk).

Summary:
The spin magnetization is 0.00 μB per formula unit. For the energy above the most stable polymorph in this dataset, the calculation gives 390 meV per atom. The formation enthalpy at 0 K comes out at 1161.5 meV per atom.

a b c (Å): 10.574 2.698 5.915
angles (deg): 90.00 101.51 90.00
Space group C2/m (No. 12)
Symmetry-distinct sites (fractional):
Sr: 0.000 0.000 0.000 x2
W: 0.000 0.500 0.500 x2
W: 0.224 0.000 0.693 x4



# SrW3

A relaxed SrW3 crystal (GGA-PBE, Alexandria via LeMat-Bulk).

Summary:
The spin magnetization is 0.00 μB per formula unit. For the energy above the most stable polymorph in this dataset, the calculation gives 406 meV per atom. The formation enthalpy at 0 K comes out at 1177.6 meV per atom.

a b c (Å): 3.090 5.149 9.846
angles (deg): 90.00 90.00 90.00
Space group Immm (No. 71)
Symmetry-distinct sites (fractional):
Sr: 0.000 0.000 0.000 x2
W: 0.000 0.000 0.500 x2
W: 0.000 0.500 0.224 x4



# SrW2

A relaxed SrW2 crystal (GGA-PBE, Alexandria via LeMat-Bulk).

Summary:
The spin magnetization is 0.00 μB per formula unit. The formation enthalpy at 0 K comes out at 1395.3 meV per atom.

a b c (Å): 4.635 4.635 14.486
angles (deg): 90.00 90.00 90.00
Space group I4_1/amd (No. 141, origin choice 2)
Symmetry-distinct sites (fractional):
Sr: 0.000 0.250 0.375 x4
W: 0.000 0.250 0.791 x8



# SrW4

A relaxed SrW4 crystal (GGA-PBE, Alexandria via LeMat-Bulk).

Summary:
The spin magnetization is 0.00 μB per formula unit. For the energy above the most stable polymorph in this dataset, the calculation gives 361 meV per atom. The formation enthalpy at 0 K comes out at 1078.6 meV per atom.

a b c (Å): 6.260 6.260 4.836
angles (deg): 90.00 90.00 90.00
Space group I4/m (No. 87)
Symmetry-distinct sites (fractional):
Sr: 0.000 0.000 0.000 x2
W: 0.060 0.303 0.500 x8